Entry from Alexandria via LeMat-Bulk: a geometry-optimized OsAu structure (PBE-GGA).

Its energy relative to the elements is 0.974 eV per atom. For the energy above the most stable polymorph in this dataset, the calculation gives 690 meV per atom.

POSCAR file:
```
OsAu
1.0
-1.6371 -2.5716 0.8795
-0.5648 -0.6824 -3.0466
2.6585 -1.7286 -0.1057
Au Os
1 1
Cartesian
0.0000 0.0000 0.0000 Au
0.2283 -2.4913 -1.1364 Os
```